A plane-wave DFT calculation with GGA+U was carried out for a relaxed structure of NaSrTbMnO6.

```
data_NaSrTbMnO6
_chemical_formula_sum 'Na4 Sr4 Tb4 Mn4 O24'
_symmetry_space_group_name_H-M 'F -4 3 m'
_symmetry_Int_Tables_number 216
_symmetry_space_group_name_Hall 'F -4 2 3'
_cell_length_a 8.2287
_cell_length_b 8.2287
_cell_length_c 8.2287
_cell_angle_alpha 90.00
_cell_angle_beta 90.00
_cell_angle_gamma 90.00
loop_
_atom_site_label
_atom_site_type_symbol
_atom_site_fract_x
_atom_site_fract_y
_atom_site_fract_z
_atom_site_occupancy
Na1 Na 0.0000 0.0000 0.0000 1
Sr1 Sr 0.0000 0.0000 0.5000 1
Tb1 Tb 0.2500 0.2500 0.2500 1
Mn1 Mn 0.2500 0.2500 0.7500 1
O1 O 0.0200 0.2500 0.7500 1
```

Summary:
**Total moment**: 5.041 μB per formula unit
**Raw total energy**: -6.455 eV per atom
**Calculated volume**: 139.3 Å³/f.u.